[1]
Material: Zr6O11
Method: DFT, PBE
State: optimized geometry

Values from the calculation:
Its uncorrected formation energy is -306.04 kJ/mol of atoms. As for the magnetization: 0.0 μB/cell. Its energy is -9.40 eV per atom.

Cell and atoms, written as extended XYZ:
```
17
Lattice="3.631 0.000 0.000 0.000 3.645 0.000 0.000 0.000 15.827" Properties=species:S:1:pos:R:3 pbc="T T T"
Zr 0.000 0.000 0.000
Zr 0.000 0.000 5.219
Zr 0.000 0.000 10.521
Zr 1.816 1.822 2.619
Zr 1.816 1.822 7.857
Zr 1.816 1.822 13.173
O 0.000 1.822 1.039
O 0.000 1.822 6.190
O 0.000 1.822 8.877
O 0.000 1.822 11.543
O 0.000 1.822 14.207
O 1.816 0.000 1.586
O 1.816 0.000 4.166
O 1.816 0.000 6.829
O 1.816 0.000 9.478
O 1.816 0.000 12.128
O 1.816 0.000 14.772
```

***

[2]
Material: ZrO2
Method: DFT, PBE
State: optimized geometry

Values from the calculation:
Its uncorrected formation energy is -314.77 kJ/mol of atoms. As for the magnetization: 0.0 μB/cell. Its energy is -9.42 eV per atom.

Cell and atoms, written as extended XYZ:
```
9
Lattice="3.114 -4.509 0.000 3.114 4.509 0.000 -3.036 0.000 4.947" Properties=species:S:1:pos:R:3 pbc="T T T"
Zr 0.000 0.000 0.000
Zr 1.596 2.860 2.474
Zr 1.596 -2.860 2.474
O 0.400 1.538 1.417
O -1.255 0.000 3.807
O 0.400 -1.538 1.417
O 2.792 1.538 3.530
O 4.447 0.000 1.141
O 2.792 -1.538 3.530
```

***

[3]
Material: ZrO2
Method: DFT, PBE
State: optimized geometry

Values from the calculation:
Its uncorrected formation energy is -313.11 kJ/mol of atoms. As for the magnetization: 0.0 μB/cell. Its energy is -9.40 eV per atom.

Cell and atoms, written as extended XYZ:
```
12
Lattice="5.632 0.000 0.000 0.000 3.387 0.000 0.000 0.000 6.588" Properties=species:S:1:pos:R:3 pbc="T T T"
Zr 1.399 0.847 0.714
Zr 1.417 2.541 4.008
Zr 4.215 0.847 2.580
Zr 4.233 2.541 5.874
O 0.124 2.541 2.245
O 0.784 2.541 6.084
O 2.032 0.847 2.790
O 2.692 0.847 5.539
O 2.940 2.541 1.049
O 3.600 2.541 3.798
O 4.848 0.847 0.504
O 5.509 0.847 4.343
```